[1]
PuUSbN2 after structural relaxation. Source: the Alexandria database, functional PBE.

abc: 3.874 3.874 6.768
angles: 106.63 106.63 90.00
Site moments in Bohr magnetons follow the coordinates.
Fractional positions:
N (0.256, 0.756, 0.512)  -0.12
Sb (0.496, 0.496, 0.993)  -0.10
N (0.756, 0.256, 0.512)  -0.12
Pu (0.155, 0.155, 0.309)  4.67
U (0.837, 0.837, 0.674)  0.80

Properties
DFT total energy	-52.4	eV/cell
D(E_F)	2.19	states/eV/atom
uncorrected formation energy	-1.20	eV per atom
SG	I4mm, No. 107
size of the total moment	5.221	μB/cell

***

[2]
Y2PuSbN5 after structural relaxation. Source: the Alexandria database, functional PBE.

abc: 3.432 7.225 10.503
angles: 90.00 90.00 103.74
Site moments in Bohr magnetons follow the coordinates.
Fractional positions:
N (0.947, 0.895, 0.567)  -0.02
N (0.282, 0.565, 0.651)  -0.15
N (0.623, 0.245, 0.514)  -0.05
Y (0.112, 0.224, 0.695)  0.02
N (0.684, 0.368, 0.868)  -0.14
Pu (0.219, 0.438, 0.004)  4.15
Y (0.864, 0.728, 0.782)  0.06
N (0.053, 0.105, 0.067)  -0.02
N (0.316, 0.632, 0.368)  -0.14
Y (0.136, 0.272, 0.282)  0.06
N (0.509, 0.017, 0.277)  -0.01
N (0.491, 0.983, 0.777)  -0.01
Pu (0.781, 0.562, 0.504)  4.15
N (0.377, 0.755, 0.014)  -0.05
N (0.718, 0.435, 0.151)  -0.15
Sb (0.521, 0.041, 0.966)  0.02
Sb (0.479, 0.959, 0.466)  0.02
Y (0.888, 0.776, 0.195)  0.02

Properties
DFT total energy	-159.8	eV/cell
D(E_F)	0.75	states/eV/atom
uncorrected formation energy	-0.77	eV per atom
SG	Cmc2_1, No. 36
size of the total moment	7.930	μB/cell

***

[3]
YPuSbN after structural relaxation. Source: the Alexandria database, functional PBE.

abc: 4.554 4.554 8.850
angles: 90.00 90.00 90.00
Site moments in Bohr magnetons follow the coordinates.
Fractional positions:
Sb (0.000, 0.500, 0.806)  -0.12
Pu (0.000, 0.500, 0.172)  4.98
Y (0.000, 0.000, 0.500)  0.04
Pu (0.500, 0.000, 0.828)  4.98
Sb (0.500, 0.000, 0.194)  -0.12
N (0.000, 0.500, 0.416)  -0.12
Y (0.500, 0.500, 0.500)  0.04
N (0.500, 0.000, 0.584)  -0.12

Properties
DFT total energy	-75.7	eV/cell
D(E_F)	2.62	states/eV/atom
uncorrected formation energy	-1.15	eV per atom
SG	P4/nmm, No. 129
size of the total moment	9.931	μB/cell

***

[4]
Pu2ZrSb2N2 after structural relaxation. Source: the Alexandria database, functional PBE.

abc: 4.289 4.289 8.285
angles: 105.00 105.00 90.00
Site moments in Bohr magnetons follow the coordinates.
Fractional positions:
Pu (0.402, 0.402, 0.805)  5.11
Sb (0.199, 0.199, 0.397)  -0.05
Pu (0.598, 0.598, 0.195)  5.11
N (0.000, 0.500, 0.000)  -0.13
Zr (0.000, 0.000, 0.000)  0.08
Sb (0.801, 0.801, 0.603)  -0.05
N (0.500, 0.000, 0.000)  -0.13

Properties
DFT total energy	-68.1	eV/cell
D(E_F)	2.73	states/eV/atom
uncorrected formation energy	-0.85	eV per atom
SG	I4/mmm, No. 139
size of the total moment	10.259	μB/cell

***

[5]
Pu3ScN4 after structural relaxation. Source: the Alexandria database, functional PBE.

abc: 5.917 5.908 6.797
angles: 90.00 90.00 109.23
Site moments in Bohr magnetons follow the coordinates.
Fractional positions:
N (0.499, 0.242, 0.885)  -0.01
Pu (0.250, 0.500, 0.372)  -4.61
Pu (0.750, 0.500, 0.123)  4.44
Sc (0.250, 0.000, 0.123)  -0.02
N (0.001, 0.758, 0.885)  -0.01
N (0.509, 0.761, 0.623)  0.13
N (0.999, 0.242, 0.115)  -0.01
N (0.991, 0.239, 0.623)  0.13
Pu (0.750, 0.000, 0.371)  -4.45
N (0.491, 0.239, 0.377)  0.13
N (0.501, 0.758, 0.115)  -0.01
Sc (0.750, 0.000, 0.877)  -0.02
N (0.009, 0.761, 0.377)  0.13
Pu (0.250, 0.000, 0.629)  -4.45
Pu (0.750, 0.500, 0.628)  -4.61
Pu (0.250, 0.500, 0.877)  4.44

Properties
DFT total energy	-186.5	eV/cell
D(E_F)	2.47	states/eV/atom
uncorrected formation energy	-1.33	eV per atom
SG	P2/c, No. 13
size of the total moment	9.139	μB/cell

***

[6]
PuScN2 after structural relaxation. Source: the Alexandria database, functional PBE.

abc: 3.323 3.323 5.995
angles: 73.91 73.91 60.00
Site moments in Bohr magnetons follow the coordinates.
Fractional positions:
N (0.086, 0.086, 0.742)  -0.14
Sc (0.496, 0.496, 0.512)  0.20
Pu (0.668, 0.668, 0.995)  4.79
N (0.250, 0.250, 0.250)  -0.15

Properties
DFT total energy	-42.3	eV/cell
D(E_F)	1.65	states/eV/atom
uncorrected formation energy	-1.25	eV per atom
SG	R3m, No. 160
size of the total moment	4.916	μB/cell

***

[7]
PuScN2 after structural relaxation. Source: the Alexandria database, functional PBE.

abc: 3.300 3.300 11.185
angles: 90.00 90.00 120.00
Site moments in Bohr magnetons follow the coordinates.
Fractional positions:
Pu (0.333, 0.667, 0.750)  4.83
Sc (0.000, 0.000, 0.000)  0.13
Pu (0.667, 0.333, 0.250)  4.83
Sc (0.000, 0.000, 0.500)  0.13
N (0.333, 0.667, 0.385)  -0.13
N (0.667, 0.333, 0.885)  -0.13
N (0.333, 0.667, 0.115)  -0.13
N (0.667, 0.333, 0.615)  -0.13

Properties
DFT total energy	-86.6	eV/cell
D(E_F)	1.48	states/eV/atom
uncorrected formation energy	-1.50	eV per atom
SG	P6_3/mmc, No. 194
size of the total moment	9.897	μB/cell

***

[8]
Pu2ScN after structural relaxation. Source: the Alexandria database, functional PBE.

abc: 3.325 3.325 9.327
angles: 79.73 79.73 60.00
Site moments in Bohr magnetons follow the coordinates.
Fractional positions:
Pu (0.887, 0.887, 0.340)  5.38
Pu (0.113, 0.113, 0.660)  5.38
N (0.500, 0.500, 0.500)  -0.19
Sc (0.000, 0.000, 0.000)  -0.17

Properties
DFT total energy	-44.7	eV/cell
D(E_F)	3.60	states/eV/atom
uncorrected formation energy	-0.35	eV per atom
SG	R-3m, No. 166
size of the total moment	10.846	μB/cell

***

[9]
PuSc2N after structural relaxation. Source: the Alexandria database, functional PBE.

abc: 3.195 3.195 9.085
angles: 79.87 79.87 60.00
Site moments in Bohr magnetons follow the coordinates.
Fractional positions:
N (0.500, 0.500, 0.500)  0.01
Pu (0.000, 0.000, 0.000)  5.64
Sc (0.879, 0.879, 0.362)  -0.08
Sc (0.121, 0.121, 0.638)  -0.08

Properties
DFT total energy	-38.3	eV/cell
D(E_F)	2.18	states/eV/atom
uncorrected formation energy	-0.75	eV per atom
SG	R-3m, No. 166
size of the total moment	5.698	μB/cell

***

[10]
PuSc2N after structural relaxation. Source: the Alexandria database, functional PBE.

abc: 2.920 2.920 8.156
angles: 90.00 90.00 90.00
Site moments in Bohr magnetons follow the coordinates.
Fractional positions:
N (0.500, 0.500, 0.000)  0.04
Sc (0.000, 0.000, 0.842)  -0.05
Sc (0.000, 0.000, 0.158)  -0.05
Pu (0.500, 0.500, 0.500)  5.50

Properties
DFT total energy	-36.5	eV/cell
D(E_F)	1.98	states/eV/atom
uncorrected formation energy	-0.30	eV per atom
SG	P4/mmm, No. 123
size of the total moment	5.788	μB/cell

***

[11]
PuScSe2N after structural relaxation. Source: the Alexandria database, functional PBE.

abc: 3.839 3.839 13.818
angles: 90.00 90.00 90.00
Site moments in Bohr magnetons follow the coordinates.
Fractional positions:
Se (0.000, 0.500, 0.699)  -0.10
Sc (0.500, 0.000, 0.116)  0.00
N (0.000, 0.000, 0.500)  -0.29
Se (0.500, 0.000, 0.908)  0.00
Pu (0.500, 0.000, 0.583)  4.23
Sc (0.000, 0.500, 0.884)  0.00
Pu (0.000, 0.500, 0.417)  4.23
Se (0.500, 0.000, 0.301)  -0.10
Se (0.000, 0.500, 0.092)  0.00
N (0.500, 0.500, 0.500)  -0.29

Properties
DFT total energy	-86.9	eV/cell
D(E_F)	1.17	states/eV/atom
uncorrected formation energy	-1.50	eV per atom
SG	P4/nmm, No. 129
size of the total moment	7.629	μB/cell

***

[12]
Pu3Sc2TaN6 after structural relaxation. Source: the Alexandria database, functional PBE.

abc: 5.726 5.726 5.776
angles: 99.49 99.49 119.96
Site moments in Bohr magnetons follow the coordinates.
Fractional positions:
N (0.604, 0.925, 0.774)  -0.10
Ta (0.000, 0.000, 0.000)  0.08
Pu (0.169, 0.831, 0.500)  4.73
Pu (0.500, 0.500, 0.500)  4.73
N (0.925, 0.604, 0.774)  -0.10
Pu (0.831, 0.169, 0.500)  4.73
N (0.245, 0.245, 0.771)  -0.10
Sc (0.333, 0.667, 0.000)  0.05
N (0.755, 0.755, 0.229)  -0.10
Sc (0.667, 0.333, 0.000)  0.05
N (0.396, 0.075, 0.226)  -0.10
N (0.075, 0.396, 0.226)  -0.10

Properties
DFT total energy	-134.9	eV/cell
D(E_F)	1.71	states/eV/atom
uncorrected formation energy	-1.45	eV per atom
SG	C2/m, No. 12
size of the total moment	14.280	μB/cell

***

Question: Among the records above, which one has the lowest DFT total energy?
Answer: Pu3ScN4

***

Question: Which of these has the lowest size of the total moment?
Answer: number 6